VASP calculation (PBE) on crystalline K2SrCr at its relaxed geometry.

**E above lowest polymorph**: 25 kJ/mol of formula units
**Space-group type**: C2/m, No. 12
**Density of states at the Fermi level**: 2.76 states/eV/cell
**Energy**: -2.78 eV/atom

Lattice parameters (Å, degrees): 8.2105 8.2105 6.0751 111.63 111.63 30.30
Fractional coordinates of all 4 atoms:
1 K 0.2003 0.2003 0.2000
2 K 0.7997 0.7997 0.8000
3 Sr 0.0000 0.0000 0.5000
4 Cr 0.5000 0.5000 0.0000